No. 1
Computed, not measured: a geometry-optimized NaSnPb structure at the PBE-GGA level of DFT.

Calculated values
The calculation puts the total DFT energy (no corrections) at -3.052 eV per atom. The calculation puts the size of the total moment at 0.0 μB/cell. The value obtained for the formation energy is -12 kJ/mol of formula units. The energy relative to the lowest polymorph listed for this composition comes out at 23.4 kJ/mol of formula units. The symmetry is F-43m (216).

Lattice parameters (Å, degrees): 5.196 5.196 5.196 60.00 60.00 60.00
Element x y z (fractional)
Pb (0.500, 0.500, 0.500)
Na (0.000, 0.000, 0.000)
Sn (0.250, 0.250, 0.250)

***

No. 2
Computed, not measured: a geometry-optimized Tb5Er4Sc3 structure at the PBE-GGA level of DFT.

Calculated values
The calculation puts the total DFT energy (no corrections) at -4.818 eV per atom. The calculation puts the size of the total moment at 0.5 μB/cell. The value obtained for the formation energy is 250 kJ/mol of formula units. The symmetry is C2/m (12).

Lattice parameters (Å, degrees): 5.678 8.469 9.310 106.32 72.24 70.41
Site moments in Bohr magnetons follow the coordinates.
Element x y z (fractional)
Tb (0.635, 0.941, 0.789)  -0.01
Tb (0.500, 0.500, 0.500)  -0.14
Tb (0.205, 0.470, 0.120)  -0.01
Tb (0.795, 0.530, 0.880)  -0.01
Tb (0.365, 0.059, 0.211)  -0.01
Er (0.858, 0.223, 0.061)  -0.01
Er (0.162, 0.054, 0.622)  0.00
Er (0.838, 0.946, 0.378)  0.00
Er (0.142, 0.777, 0.939)  -0.01
Sc (0.518, 0.694, 0.269)  -0.01
Sc (0.000, 0.500, 0.500)  -0.19
Sc (0.482, 0.306, 0.731)  -0.01

***

No. 3
Computed, not measured: a geometry-optimized Pm4Pr6Ho structure at the PBE-GGA level of DFT.

Calculated values
The calculation puts the total DFT energy (no corrections) at -4.477 eV per atom. The calculation puts the size of the total moment at 0.0 μB/cell. The value obtained for the formation energy is 290 kJ/mol of formula units. The symmetry is I-42m (121).

Lattice parameters (Å, degrees): 10.001 10.001 10.001 56.70 140.76 140.76
Element x y z (fractional)
Pm (0.000, 0.635, 0.011)
Pm (0.376, 0.365, 0.365)
Pm (0.000, 0.011, 0.635)
Pm (0.624, 0.989, 0.989)
Pr (0.000, 0.809, 0.452)
Pr (0.000, 0.452, 0.809)
Pr (0.357, 0.548, 0.548)
Pr (0.500, 0.500, 0.000)
Pr (0.643, 0.191, 0.191)
Pr (0.500, 0.000, 0.500)
Ho (0.000, 0.000, 0.000)

***

No. 4
Computed, not measured: a geometry-optimized Sm12Pt3O5 structure at the PBE-GGA level of DFT.

Calculated values
The calculation puts the total DFT energy (no corrections) at -6.670 eV per atom. The calculation puts the size of the total moment at 6.1 μB/cell. The symmetry is Ia-3d (230). Its raw formation energy is -1.693 eV/atom.

Lattice parameters (Å, degrees): 13.484 13.484 13.484 109.47 109.47 109.47
Site moments in Bohr magnetons follow the coordinates.
Element x y z (fractional)
Pt (0.750, 0.375, 0.125)  0.03
Pt (0.875, 0.750, 0.125)  0.03
Pt (0.375, 0.750, 0.625)  0.03
Pt (0.250, 0.125, 0.375)  0.03
Pt (0.875, 0.125, 0.250)  0.03
Pt (0.375, 0.625, 0.250)  0.03
Pt (0.625, 0.375, 0.750)  0.03
Pt (0.125, 0.875, 0.750)  0.03
Pt (0.750, 0.875, 0.625)  0.03
Pt (0.625, 0.250, 0.375)  0.03
Pt (0.125, 0.250, 0.875)  0.03
Pt (0.250, 0.625, 0.875)  0.03
O (0.125, 0.375, 0.250)  0.01
O (0.000, 0.500, 0.000)  0.00
O (0.000, 0.000, 0.000)  0.00
O (0.375, 0.250, 0.125)  0.01
O (0.500, 0.000, 0.500)  0.00
O (0.500, 0.500, 0.000)  0.00
O (0.125, 0.750, 0.375)  0.01
O (0.750, 0.125, 0.875)  0.01
O (0.750, 0.625, 0.375)  0.01
O (0.375, 0.125, 0.750)  0.01
O (0.625, 0.875, 0.250)  0.01
O (0.500, 0.500, 0.500)  0.00
O (0.500, 0.000, 0.000)  0.00
O (0.000, 0.000, 0.500)  0.00
O (0.250, 0.375, 0.625)  0.01
O (0.250, 0.875, 0.125)  0.01
O (0.000, 0.500, 0.500)  0.00
O (0.875, 0.250, 0.625)  0.01
O (0.625, 0.750, 0.875)  0.01
O (0.875, 0.625, 0.750)  0.01
Sm (0.706, 0.117, 0.021)  0.05
Sm (0.315, 0.521, 0.405)  0.05
Sm (0.979, 0.383, 0.294)  0.05
Sm (0.521, 0.206, 0.117)  0.05
Sm (0.589, 0.706, 0.685)  0.05
Sm (0.979, 0.595, 0.185)  0.05
Sm (0.315, 0.794, 0.411)  0.05
Sm (0.095, 0.911, 0.117)  0.05
Sm (0.595, 0.979, 0.685)  0.05
Sm (0.706, 0.589, 0.185)  0.05
Sm (0.794, 0.479, 0.383)  0.05
Sm (0.815, 0.905, 0.021)  0.05
Sm (0.117, 0.706, 0.521)  0.05
Sm (0.383, 0.405, 0.089)  0.05
Sm (0.089, 0.905, 0.383)  0.05
Sm (0.411, 0.117, 0.595)  0.05
Sm (0.089, 0.185, 0.206)  0.05
Sm (0.479, 0.685, 0.095)  0.05
Sm (0.815, 0.911, 0.294)  0.05
Sm (0.117, 0.411, 0.095)  0.05
Sm (0.383, 0.979, 0.794)  0.05
Sm (0.595, 0.617, 0.411)  0.05
Sm (0.905, 0.815, 0.521)  0.05
Sm (0.794, 0.315, 0.911)  0.05
Sm (0.405, 0.383, 0.589)  0.05
Sm (0.095, 0.185, 0.479)  0.05
Sm (0.206, 0.685, 0.089)  0.05
Sm (0.185, 0.089, 0.706)  0.05
Sm (0.617, 0.021, 0.206)  0.05
Sm (0.883, 0.589, 0.905)  0.05
Sm (0.521, 0.315, 0.905)  0.05
Sm (0.589, 0.883, 0.405)  0.05
Sm (0.911, 0.815, 0.794)  0.05
Sm (0.911, 0.095, 0.617)  0.05
Sm (0.883, 0.294, 0.479)  0.05
Sm (0.185, 0.095, 0.979)  0.05
Sm (0.617, 0.595, 0.911)  0.05
Sm (0.405, 0.021, 0.315)  0.05
Sm (0.294, 0.411, 0.815)  0.05
Sm (0.206, 0.521, 0.617)  0.05
Sm (0.905, 0.089, 0.883)  0.05
Sm (0.685, 0.206, 0.589)  0.05
Sm (0.479, 0.794, 0.883)  0.05
Sm (0.021, 0.405, 0.815)  0.05
Sm (0.411, 0.294, 0.315)  0.05
Sm (0.021, 0.617, 0.706)  0.05
Sm (0.685, 0.479, 0.595)  0.05
Sm (0.294, 0.883, 0.979)  0.05

***

No. 5
Computed, not measured: a geometry-optimized NdTm2Sb structure at the PBE-GGA level of DFT.

Calculated values
The calculation puts the total DFT energy (no corrections) at -4.924 eV per atom. The calculation puts the size of the total moment at 0.0 μB/cell. The energy relative to the lowest polymorph listed for this composition comes out at 32.2 kJ/mol of formula units. The symmetry is P4/mmm (123). Its raw formation energy is -0.466 eV/atom.

Lattice parameters (Å, degrees): 4.742 4.828 4.828 90.00 90.00 90.00
Element x y z (fractional)
Sb (0.500, 0.000, 0.000)
Tm (0.000, 0.000, 0.500)
Tm (0.000, 0.500, 0.000)
Nd (0.500, 0.500, 0.500)

***

No. 6
Computed, not measured: a geometry-optimized MnSi2As structure at the PBE-GGA level of DFT.

Calculated values
The calculation puts the total DFT energy (no corrections) at -5.988 eV per atom. The calculation puts the size of the total moment at 1.1 μB/cell. The symmetry is R-3m (166). Its raw formation energy is 0.179 eV/atom.

Lattice parameters (Å, degrees): 8.300 8.300 8.300 19.87 19.87 19.87
Site moments in Bohr magnetons follow the coordinates.
Element x y z (fractional)
As (0.250, 0.250, 0.250)  0.02
Mn (0.750, 0.750, 0.750)  0.95
Si (0.014, 0.014, 0.014)  0.01
Si (0.486, 0.486, 0.486)  0.01

***

No. 7
Computed, not measured: a geometry-optimized Tm2TeSe structure at the PBE-GGA level of DFT.

Calculated values
The calculation puts the total DFT energy (no corrections) at -5.285 eV per atom. The calculation puts the size of the total moment at 0.0 μB/cell. The energy relative to the lowest polymorph listed for this composition comes out at 30.5 kJ/mol of formula units. The symmetry is Pmna (53). Its raw formation energy is -1.392 eV/atom.

Lattice parameters (Å, degrees): 6.247 5.740 11.499 90.00 90.00 90.00
Element x y z (fractional)
Tm (0.813, 0.000, 0.885)
Tm (0.187, 0.000, 0.115)
Tm (0.813, 0.500, 0.615)
Tm (0.187, 0.500, 0.385)
Tm (0.814, 0.500, 0.131)
Tm (0.186, 0.500, 0.869)
Tm (0.814, 0.000, 0.369)
Tm (0.186, 0.000, 0.631)
Te (0.304, 0.000, 0.373)
Te (0.696, 0.000, 0.627)
Te (0.304, 0.500, 0.127)
Te (0.696, 0.500, 0.873)
Se (0.270, 0.500, 0.627)
Se (0.730, 0.500, 0.373)
Se (0.270, 0.000, 0.873)
Se (0.730, 0.000, 0.127)

***

No. 8
Computed, not measured: a geometry-optimized La3PtPb structure at the PBE-GGA level of DFT.

Calculated values
The calculation puts the total DFT energy (no corrections) at -5.500 eV per atom. The calculation puts the size of the total moment at 0.0 μB/cell. The value obtained for the formation energy is -286 kJ/mol of formula units. The energy relative to the lowest polymorph listed for this composition comes out at 96.7 kJ/mol of formula units. The symmetry is Pm-3m (221).

Lattice parameters (Å, degrees): 5.661 5.661 5.661 90.00 90.00 90.00
Element x y z (fractional)
Pb (0.500, 0.500, 0.500)
Pt (0.000, 0.000, 0.000)
La (0.000, 0.500, 0.000)
La (0.000, 0.000, 0.500)
La (0.500, 0.000, 0.000)

***

No. 9
Computed, not measured: a geometry-optimized Sc2InSb structure at the PBE-GGA level of DFT.

Calculated values
The calculation puts the total DFT energy (no corrections) at -5.378 eV per atom. The calculation puts the size of the total moment at 0.7 μB/cell. The energy relative to the lowest polymorph listed for this composition comes out at 40.1 kJ/mol of formula units. The symmetry is C2/m (12). Its raw formation energy is -0.497 eV/atom.

Lattice parameters (Å, degrees): 7.108 5.325 3.371 86.89 66.87 122.89
Site moments in Bohr magnetons follow the coordinates.
Element x y z (fractional)
In (0.000, 0.500, 0.500)  0.00
Sb (0.500, 0.500, 0.000)  -0.02
Sc (0.000, 0.000, 0.000)  0.25
Sc (0.500, 0.000, 0.500)  0.25

***

No. 10
Computed, not measured: a geometry-optimized Rb2ZnIn4Sn3 structure at the PBE-GGA level of DFT.

Calculated values
The calculation puts the total DFT energy (no corrections) at -2.736 eV per atom. The calculation puts the size of the total moment at 0.0 μB/cell. The value obtained for the formation energy is -115 kJ/mol of formula units. The symmetry is P-4m2 (115).

Lattice parameters (Å, degrees): 5.128 5.128 12.176 90.00 90.00 90.00
Element x y z (fractional)
Rb (0.500, 0.000, 0.253)
Rb (0.000, 0.500, 0.747)
Zn (0.500, 0.500, 0.500)
In (0.500, 0.500, 0.000)
In (0.000, 0.000, 0.000)
In (0.500, 0.000, 0.623)
In (0.000, 0.500, 0.377)
Sn (0.000, 0.000, 0.500)
Sn (0.500, 0.000, 0.866)
Sn (0.000, 0.500, 0.134)

***

No. 11
Computed, not measured: a geometry-optimized HAuO structure at the PBE-GGA level of DFT.

Calculated values
The calculation puts the total DFT energy (no corrections) at -4.193 eV per atom. The calculation puts the size of the total moment at 0.0 μB/cell. The energy relative to the lowest polymorph listed for this composition comes out at 0.0 kJ/mol of formula units. The symmetry is Pm (6).

Lattice parameters (Å, degrees): 2.883 4.272 3.087 90.00 112.84 90.00
Element x y z (fractional)
H (0.238, 0.500, 0.016)
Au (0.001, 0.000, 0.272)
O (0.014, 0.500, 0.189)

***

No. 12
Computed, not measured: a geometry-optimized CrInCu3 structure at the PBE-GGA level of DFT.

Calculated values
The calculation puts the total DFT energy (no corrections) at -3.926 eV per atom. The calculation puts the size of the total moment at 4.2 μB/cell. The value obtained for the formation energy is 484 kJ/mol of formula units. The energy relative to the lowest polymorph listed for this composition comes out at 0.0 kJ/mol of formula units. The symmetry is Pm-3m (221).

Lattice parameters (Å, degrees): 4.635 4.635 4.635 90.00 90.00 90.00
Site moments in Bohr magnetons follow the coordinates.
Element x y z (fractional)
Cr (0.000, 0.000, 0.000)  3.42
Cu (0.000, 0.500, 0.000)  0.15
Cu (0.000, 0.000, 0.500)  0.22
Cu (0.500, 0.000, 0.000)  0.09
In (0.500, 0.500, 0.500)  0.00